(1)
HoErCl6 PBE optimized geometry; space group = C2, No. 5; magnetization = 0.0 μB per formula unit; final energy = -4.806 eV per atom
1.0
3.402 -5.909 0.000
3.402 5.909 0.000
-2.290 0.000 6.011
Ho Er Cl
1 1 6
Cartesian
0.000 0.000 0.000
3.402 -1.997 0.000
0.947 1.964 1.471
-0.094 -0.168 4.565
1.218 -1.838 1.445
3.566 1.964 4.540
4.608 -0.168 1.446
3.295 -1.838 4.566

---

(2)
HoErNCl2 PBE optimized geometry; space group = P3m1, No. 156; magnetization = 0.0 μB per formula unit; final energy = -6.213 eV per atom
1.0
3.558 0.000 0.000
-1.779 3.082 0.000
0.000 0.000 9.989
Ho Er N Cl
1 1 1 2
Cartesian
0.000 0.000 0.000
0.000 2.054 2.572
1.779 1.027 1.302
0.000 0.000 4.333
0.000 2.054 8.216

---

(3)
HoErS2Cl2 PBE optimized geometry; space group = Pmm2, No. 25; magnetization = 0.0 μB per formula unit; final energy = -5.703 eV per atom
1.0
3.962 0.000 0.000
0.000 5.323 0.000
0.000 0.000 8.382
Ho Er S Cl
1 1 2 2
Cartesian
0.000 0.000 0.000
1.981 2.661 6.054
0.000 2.661 7.922
1.981 0.000 6.499
0.000 2.661 4.299
1.981 0.000 1.767

---

(4)
HoErSiCl2 PBE optimized geometry; space group = P3m1, No. 156; magnetization = 0.0 μB per formula unit; final energy = -5.208 eV per atom
1.0
4.012 0.000 0.000
-2.006 3.474 0.000
0.000 0.000 9.619
Ho Er Si Cl
1 1 1 2
Cartesian
0.000 0.000 0.000
0.000 2.316 6.407
2.006 1.158 8.006
0.000 0.000 4.844
0.000 2.316 1.575

---

(5)
Ho2Er2SiCl5 PBE optimized geometry; space group = C2/m, No. 12; magnetization = 0.0 μB per formula unit; final energy = -4.957 eV per atom
1.0
8.680 -1.952 0.000
8.680 1.952 0.000
-1.717 0.000 7.847
Ho Er Si Cl
2 2 1 5
Cartesian
16.964 0.000 1.803
-1.320 0.000 6.044
4.439 0.000 7.196
11.205 0.000 0.651
8.680 0.000 0.000
2.336 0.000 2.510
1.576 0.000 6.685
7.822 0.000 3.924
14.068 0.000 1.162
13.308 0.000 5.337

---

(6)
ErInCl3 PBE optimized geometry; space group = Cmcm, No. 63; magnetization = 0.0 μB per formula unit; final energy = -4.096 eV per atom
1.0
1.802 -7.617 0.000
1.802 7.617 0.000
0.000 0.000 10.364
Er In Cl
2 2 6
Cartesian
0.000 0.000 0.000
0.000 0.000 5.182
1.802 3.697 7.773
1.802 -3.697 2.591
1.802 7.047 2.591
1.802 1.955 0.363
1.802 1.955 4.819
1.802 -1.955 5.545
1.802 -1.955 10.001
1.802 -7.047 7.773

---

(7)
ErInCl6 PBE optimized geometry; space group = C2, No. 5; magnetization = 0.0 μB per formula unit; final energy = -3.974 eV per atom
1.0
3.309 -5.743 0.000
3.309 5.743 0.000
-2.223 0.000 6.137
Er In Cl
1 1 6
Cartesian
0.000 0.000 0.000
3.309 -1.942 0.000
0.945 1.952 1.478
-0.043 -0.174 4.672
1.216 -1.826 1.456
3.449 1.952 4.658
4.437 -0.174 1.464
3.177 -1.826 4.681

---

(8)
Er6Ir2Cl PBE optimized geometry; space group = P-62m, No. 189; magnetization = 0.0 μB per formula unit; final energy = -5.802 eV per atom
1.0
7.811 0.000 0.000
-3.905 6.764 0.000
0.000 0.000 4.018
Er Ir Cl
6 2 1
Cartesian
-1.040 1.801 0.000
-2.265 3.923 2.009
2.079 0.000 0.000
1.641 2.842 2.009
4.529 0.000 2.009
2.866 4.964 0.000
0.000 4.510 0.000
3.905 2.255 0.000
0.000 0.000 2.009

---

(9)
ErIrCl6 PBE optimized geometry; space group = C2, No. 5; magnetization = 0.0 μB per formula unit; final energy = -4.416 eV per atom
1.0
3.160 -5.463 0.000
3.160 5.463 0.000
-2.107 0.000 6.101
Er Ir Cl
1 1 6
Cartesian
0.000 0.000 0.000
3.160 -1.827 0.000
0.952 1.988 1.425
0.097 -0.177 4.677
1.249 -1.820 1.415
3.260 1.988 4.676
4.115 -0.177 1.424
2.963 -1.820 4.686

---

(10)
SmErNCl3 PBE optimized geometry; energy above the lowest structure with this stoichiometry = 0.031 eV per atom; space group = C2/m, No. 12; magnetization = 0.0 μB per formula unit
1.0
8.061 -1.929 0.000
8.061 1.929 0.000
-5.535 0.000 9.128
Sm Er N Cl
2 2 2 6
Cartesian
-1.091 0.000 4.136
11.677 0.000 4.992
4.696 0.000 1.887
5.891 0.000 7.241
-2.390 0.000 6.030
12.977 0.000 3.098
2.621 0.000 0.110
2.292 0.000 3.458
3.154 0.000 6.945
7.433 0.000 2.183
8.295 0.000 5.670
7.966 0.000 9.018

---

(11)
SmErNCl3 PBE optimized geometry; energy above the lowest structure with this stoichiometry = 0.000 eV per atom; space group = C2/m, No. 12; magnetization = 0.0 μB per formula unit
1.0
8.081 -1.947 0.000
8.081 1.947 0.000
-5.435 0.000 9.262
Sm Er N Cl
2 2 2 6
Cartesian
0.638 0.000 2.702
10.089 0.000 6.560
6.476 0.000 0.416
4.251 0.000 8.845
2.278 0.000 7.843
8.449 0.000 1.419
-3.268 0.000 7.009
2.949 0.000 0.995
2.814 0.000 4.506
7.913 0.000 4.756
7.778 0.000 8.266
13.995 0.000 2.252

---

(12)
Na3ErCl6 PBE optimized geometry; space group = P2_1/c, No. 14; magnetization = 0.0 μB per formula unit; final energy = -3.959 eV per atom
1.0
6.843 0.000 0.000
0.000 7.249 0.000
-6.715 0.000 10.097
Na Er Cl
6 2 12
Cartesian
0.000 0.000 0.000
-3.358 3.625 5.048
-3.488 0.554 7.492
-0.130 3.071 2.443
0.258 4.179 7.654
3.616 6.696 2.605
0.064 0.000 5.048
3.422 3.625 0.000
-2.093 1.295 4.390
-5.451 2.329 9.439
-1.093 5.034 4.264
-4.451 5.840 9.312
0.987 0.467 2.629
-2.371 3.158 7.677
2.499 4.091 2.420
-0.859 6.783 7.468
4.579 1.409 0.785
1.221 2.216 5.833
5.579 4.920 0.658
2.221 5.954 5.707

---

(13)
NdErSbCl2 PBE optimized geometry; space group = P3m1, No. 156; magnetization = 0.0 μB per formula unit; final energy = -5.063 eV per atom
1.0
4.209 0.000 0.000
-2.105 3.645 0.000
0.000 0.000 10.649
Nd Er Sb Cl
1 1 1 2
Cartesian
0.000 0.000 0.000
2.105 1.215 7.035
0.000 2.430 8.740
0.000 0.000 5.552
2.105 1.215 1.625

---

(14)
ErClO PBE optimized geometry; space group = Pmmn, No. 59; magnetization = 0.0 μB per formula unit; final energy = -6.874 eV per atom
1.0
3.697 0.000 0.000
0.000 4.095 0.000
0.000 0.000 8.506
Er Cl O
2 2 2
Cartesian
0.924 1.024 1.057
2.773 3.071 7.449
0.924 3.071 5.562
2.773 1.024 2.944
0.924 3.071 0.259
2.773 1.024 8.248

---

(15)
ErClO PBE optimized geometry; space group = C2/m, No. 12; magnetization = 0.0 μB per formula unit; final energy = -6.854 eV per atom
1.0
8.620 -1.943 0.000
8.620 1.943 0.000
-0.532 0.000 7.416
Er Cl O
4 4 4
Cartesian
3.117 0.000 0.854
2.882 0.000 4.544
13.827 0.000 2.872
13.592 0.000 6.562
0.823 0.000 6.235
6.550 0.000 4.808
10.159 0.000 2.608
15.886 0.000 1.181
4.216 0.000 2.756
3.938 0.000 6.527
12.771 0.000 0.889
12.493 0.000 4.660

---

(16)
Er3ClO4 PBE optimized geometry; energy above the lowest structure with this stoichiometry = 0.178 eV per atom; space group = P4/mmm, No. 123; magnetization = 0.0 μB per formula unit
1.0
3.832 0.000 0.000
0.000 3.832 0.000
0.000 0.000 8.745
Er Cl O
3 1 4
Cartesian
0.000 0.000 0.000
1.916 1.916 2.288
1.916 1.916 6.456
0.000 0.000 4.372
0.000 1.916 1.368
0.000 1.916 7.377
1.916 0.000 1.368
1.916 0.000 7.377

---

(17)
Er3ClO4 PBE optimized geometry; energy above the lowest structure with this stoichiometry = 0.000 eV per atom; space group = Cmcm, No. 63; magnetization = 0.0 μB per formula unit
1.0
1.991 -5.750 0.000
1.991 5.750 0.000
0.000 0.000 11.495
Er Cl O
6 2 8
Cartesian
1.991 4.325 8.621
1.991 3.681 1.166
1.991 3.681 4.581
1.991 -3.681 6.914
1.991 -3.681 10.329
1.991 -4.325 2.874
1.991 0.000 0.000
1.991 0.000 5.747
1.991 5.047 2.874
1.991 3.081 6.769
1.991 3.081 10.474
1.991 2.272 2.874
1.991 -2.272 8.621
1.991 -3.081 1.021
1.991 -3.081 4.726
1.991 -5.047 8.621

---

(18)
ErCl2O2 PBE optimized geometry; space group = C2/m, No. 12; magnetization = 0.0 μB per formula unit; final energy = -5.356 eV per atom
1.0
3.481 -5.767 0.000
3.481 5.767 0.000
-2.353 0.000 6.361
Er Cl O
2 4 4
Cartesian
3.481 3.806 0.000
3.481 -3.806 0.000
1.486 3.265 1.659
3.123 3.265 4.702
1.486 -3.265 1.659
3.123 -3.265 4.702
0.209 0.000 1.282
1.235 0.000 0.395
3.375 0.000 5.966
4.400 0.000 5.079

---

(19)
ErClO PBE optimized geometry; space group = P4/nmm, No. 129; magnetization = 0.0 μB per formula unit; final energy = -6.860 eV per atom
1.0
3.868 0.000 0.000
0.000 3.868 0.000
0.000 0.000 6.546
Er Cl O
2 2 2
Cartesian
0.967 0.967 1.100
2.901 2.901 5.447
0.967 0.967 4.098
2.901 2.901 2.448
0.967 2.901 0.000
2.901 0.967 0.000

---

(20)
RbErSeCl2O3 PBE optimized geometry; space group = P2_1/c, No. 14; magnetization = 0.0 μB per formula unit; final energy = -5.462 eV per atom
1.0
6.553 0.000 0.000
0.000 6.935 0.000
-4.502 0.000 16.404
Rb Er Se Cl O
4 4 4 8 12
Cartesian
1.292 1.379 0.943
-0.959 2.088 9.145
3.010 4.847 7.259
0.759 5.555 15.461
-0.276 4.544 4.263
-2.527 5.857 12.464
4.578 1.077 3.939
2.327 2.390 12.141
1.117 1.107 4.863
-1.134 2.361 13.065
3.186 4.574 3.339
0.935 5.828 11.541
0.264 4.576 1.701
-1.987 5.826 9.903
-0.281 4.440 6.884
-2.533 5.962 15.086
4.584 0.973 1.318
2.333 2.494 9.520
4.038 1.109 6.501
1.787 2.358 14.703
-2.225 1.161 12.427
0.026 2.307 4.225
-2.227 3.622 12.570
0.024 6.780 4.368
1.981 4.519 4.533
-0.270 5.882 12.735
2.322 1.052 3.669
0.071 2.415 11.870
2.027 0.154 12.035
4.278 3.313 3.834
2.025 4.628 12.178
4.276 5.774 3.977

---

(21)
Er3Se2ClO8 PBE optimized geometry; space group = C2/c, No. 15; magnetization = 0.0 μB per formula unit; final energy = -6.826 eV per atom
1.0
7.419 -5.487 0.000
7.419 5.487 0.000
-1.432 0.000 5.266
Er Se Cl O
6 4 2 16
Cartesian
1.486 1.164 4.593
6.345 4.367 3.949
2.202 -1.164 1.960
11.205 1.164 3.306
7.061 -4.367 1.316
11.920 -1.164 0.673
4.688 1.382 2.551
3.972 -1.382 5.184
9.434 1.382 0.082
8.718 -1.382 2.715
7.061 2.993 1.316
6.345 -2.993 3.949
1.349 0.055 0.366
0.633 -0.055 2.999
4.094 2.120 1.083
4.789 2.734 3.561
3.227 0.617 3.138
3.943 -0.617 0.505
7.902 2.734 4.338
3.378 -2.120 3.716
10.028 2.120 1.550
5.505 -2.734 0.928
9.463 0.617 4.761
10.179 -0.617 2.128
8.618 -2.734 1.705
9.312 -2.120 4.183
12.773 0.055 2.267
12.057 -0.055 4.900